No. 1
Entry from the Open Quantum Materials Database: crystalline NiMo4AsC2 at its relaxed geometry (GGA-PBE). Values from VASP.

Calculated values
Total magnetic moment (μB/f.u.): 0.107
Energy (eV/atom): -8.959

```
&SYSTEM
  ibrav = 0, nat = 8, ntyp = 4
/
ATOMIC_SPECIES
Ni 58.69 Ni.upf
Mo 95.94 Mo.upf
As 74.92 As.upf
C 12.01 C.upf
CELL_PARAMETERS angstrom
3.1182 0.0000 0.0000
-1.5591 2.7004 0.0000
0.0000 0.0000 12.4348
ATOMIC_POSITIONS crystal
Ni 0.0000 0.0000 0.0000
Mo 0.0000 0.0000 0.3403
Mo 0.0000 0.0000 0.6597
Mo 0.3333 0.6667 0.1581
Mo 0.3333 0.6667 0.8419
As 0.3333 0.6667 0.5000
C 0.6667 0.3333 0.2468
C 0.6667 0.3333 0.7532
```

No. 2
Entry from the Open Quantum Materials Database: crystalline KIrAu3S4 at its relaxed geometry (GGA-PBE). Values from VASP.

Calculated values
Total magnetic moment (μB/f.u.): 0.003
Energy (eV/atom): -3.983

```
&SYSTEM
  ibrav = 0, nat = 9, ntyp = 4
/
ATOMIC_SPECIES
K 39.10 K.upf
Ir 192.22 Ir.upf
Au 196.97 Au.upf
S 32.06 S.upf
CELL_PARAMETERS angstrom
6.2484 0.0000 0.0000
0.0000 6.2484 0.0000
0.0000 0.0000 6.2484
ATOMIC_POSITIONS crystal
K 0.0000 0.0000 0.0000
Ir 0.5000 0.5000 0.5000
Au 0.0000 0.5000 0.5000
Au 0.5000 0.0000 0.5000
Au 0.5000 0.5000 0.0000
S 0.2887 0.2887 0.2887
S 0.2887 0.7113 0.7113
S 0.7113 0.2887 0.7113
S 0.7113 0.7113 0.2887
```